Density functional theory data (PBE) for a geometry-optimized ZrAl2Ru2 structure.

Results
Formation energy from the elements: -546 meV per atom
Symmetry: No. 127
Total magnetization: 0.00 μB/f.u.
Crystal system: tetragonal

abc: 7.2858 7.2858 2.9512
angles: 90.00 90.00 90.00
Closest atoms and distances in Å follow each position.
Element x y z (fractional)
Zr 0.0000 0.0000 0.0000  4 Al 2.88, 2 Zr 2.95, 8 Ru 3.08
Zr 0.5000 0.5000 0.0000  4 Al 2.88, 2 Zr 2.95, 8 Ru 3.08
Al 0.1253 0.3747 0.0000  6 Ru 2.57-2.64, 1 Al 2.58
Al 0.3747 0.8747 0.0000  6 Ru 2.57-2.64, 1 Al 2.58
Al 0.6253 0.1253 0.0000  6 Ru 2.57-2.64, 1 Al 2.58
Al 0.8747 0.6253 0.0000  6 Ru 2.57-2.64, 1 Al 2.58
Ru 0.1709 0.6709 0.5000  6 Al 2.57-2.64
Ru 0.3291 0.1709 0.5000  6 Al 2.57-2.64
Ru 0.6709 0.8291 0.5000  6 Al 2.57-2.64
Ru 0.8291 0.3291 0.5000  6 Al 2.57-2.64



Density functional theory data (PBE) for a geometry-optimized GdCu6 structure.

Results
Formation energy from the elements: -149 meV per atom
Symmetry: No. 62
Total magnetization: 7.06 μB/f.u.
Crystal system: orthorhombic

abc: 8.0087 5.0776 10.0572
angles: 90.00 90.00 90.00
Closest atoms and distances in Å follow each position.
Element x y z (fractional)
Gd 0.2411 0.2500 0.0642  13 Cu 2.88-3.21
Gd 0.2589 0.7500 0.5642  13 Cu 2.88-3.21
Gd 0.7411 0.2500 0.4358  13 Cu 2.88-3.21
Gd 0.7589 0.7500 0.9358  13 Cu 2.88-3.21
Cu 0.0650 0.7500 0.0942  5 Cu 2.48-2.60
Cu 0.0656 0.0067 0.3088  9 Cu 2.45-2.67
Cu 0.0656 0.4933 0.3088  9 Cu 2.45-2.67
Cu 0.1002 0.2500 0.5176  6 Cu 2.45-2.60
Cu 0.1465 0.7500 0.8555  8 Cu 2.49-2.74
Cu 0.1822 0.2500 0.7568  9 Cu 2.46-2.74
Cu 0.3178 0.7500 0.2568  9 Cu 2.46-2.74
Cu 0.3535 0.2500 0.3555  8 Cu 2.49-2.74
Cu 0.3998 0.7500 0.0176  6 Cu 2.45-2.60
Cu 0.4344 0.5067 0.8088  9 Cu 2.45-2.67
Cu 0.4344 0.9933 0.8088  9 Cu 2.45-2.67
Cu 0.4350 0.2500 0.5942  5 Cu 2.48-2.60
Cu 0.5650 0.7500 0.4058  5 Cu 2.48-2.60
Cu 0.5656 0.0067 0.1912  9 Cu 2.45-2.67
Cu 0.5656 0.4933 0.1912  9 Cu 2.45-2.67
Cu 0.6002 0.2500 0.9824  6 Cu 2.45-2.60
Cu 0.6465 0.7500 0.6445  8 Cu 2.49-2.74
Cu 0.6822 0.2500 0.7432  9 Cu 2.46-2.74
Cu 0.8178 0.7500 0.2432  9 Cu 2.46-2.74
Cu 0.8535 0.2500 0.1445  8 Cu 2.49-2.74
Cu 0.8998 0.7500 0.4824  6 Cu 2.45-2.60
Cu 0.9344 0.5067 0.6912  9 Cu 2.45-2.67
Cu 0.9344 0.9933 0.6912  9 Cu 2.45-2.67
Cu 0.9350 0.2500 0.9058  5 Cu 2.48-2.60



Question: Look up the formation energy from the elements of the first one.
Answer: -546 meV per atom